Entry 1:
A relaxed PmNd2Au3 crystal, computed with GGA-PBE.

The value obtained for the energy above the most stable polymorph in this dataset is 0.123 eV per atom. The space group is No. 63.

a = 4.6116 Å, b = 6.4733 Å, c = 11.2163 Å
α = 90.00°, β = 101.86°, γ = 90.00°
Atoms (fractional coordinates):
Pm1 0.3202 0.7500 0.6405
Pm2 0.6798 0.2500 0.3595
Nd1 0.1445 0.7500 0.2889
Nd2 0.8555 0.2500 0.7111
Nd3 0.9707 0.7500 0.9414
Nd4 0.0293 0.2500 0.0586
Au1 0.4318 0.4673 0.8636
Au2 0.5682 0.5327 0.1364
Au3 0.4318 0.0327 0.8636
Au4 0.5682 0.9673 0.1364
Au5 0.7347 0.7500 0.4694
Au6 0.2653 0.2500 0.5306

---

Entry 2:
A relaxed PmNd2Au3 crystal, computed with GGA-PBE.

The value obtained for the energy above the most stable polymorph in this dataset is 0.000 eV per atom. The space group is No. 65.

a = 5.2686 Å, b = 8.3297 Å, c = 7.3660 Å
α = 90.00°, β = 90.00°, γ = 71.56°
Atoms (fractional coordinates):
Pm1 0.3333 0.3334 0.0000
Pm2 0.6667 0.6666 0.0000
Nd1 0.0000 0.0000 0.0000
Nd2 0.0000 0.0000 0.5000
Nd3 0.3335 0.3331 0.5000
Nd4 0.6665 0.6669 0.5000
Au1 0.8323 0.3353 0.7537
Au2 0.5001 0.0000 0.2486
Au3 0.1677 0.6647 0.2463
Au4 0.8324 0.3353 0.2463
Au5 0.1676 0.6647 0.7537
Au6 0.4999 0.0000 0.7514

---

Entry 3:
A relaxed PmNd2Au crystal, computed with GGA-PBE.

The value obtained for the energy above the most stable polymorph in this dataset is 0.029 eV per atom. The space group is No. 63.

a = 4.9963 Å, b = 6.5933 Å, c = 8.1037 Å
α = 90.00°, β = 90.00°, γ = 112.28°
Atoms (fractional coordinates):
Pm1 0.9517 0.9038 0.2500
Pm2 0.0483 0.0962 0.7500
Nd1 0.3590 0.7182 0.5334
Nd2 0.6410 0.2818 0.4666
Nd3 0.3590 0.7182 0.9666
Nd4 0.6410 0.2818 0.0334
Au1 0.7953 0.5911 0.7500
Au2 0.2047 0.4089 0.2500

---

Entry 4:
A relaxed Pm3Nd4Au4 crystal, computed with GGA-PBE.

The space group is No. 71. For the final energy, the calculation gives -4.73 eV per atom.

a = 3.8852 Å, b = 9.3224 Å, c = 10.1456 Å
α = 117.35°, β = 101.04°, γ = 90.00°
Atoms (fractional coordinates):
Pm1 0.1032 0.1032 0.2063
Pm2 0.8968 0.8968 0.7937
Pm3 0.0000 0.5000 0.0000
Nd1 0.3383 0.1498 0.6766
Nd2 0.6617 0.4732 0.3234
Nd3 0.6617 0.8502 0.3234
Nd4 0.3383 0.5268 0.6766
Au1 0.2544 0.7544 0.5089
Au2 0.7456 0.2456 0.4911
Au3 0.5000 0.8182 0.0000
Au4 0.5000 0.1818 0.0000

---

Entry 5:
A relaxed PmNd3Au2 crystal, computed with GGA-PBE.

The value obtained for the energy above the most stable polymorph in this dataset is 0.049 eV per atom. The space group is No. 12.

a = 4.7077 Å, b = 8.9943 Å, c = 9.9071 Å
α = 117.39°, β = 90.00°, γ = 105.17°
Atoms (fractional coordinates):
Pm1 0.8883 0.7767 0.9721
Pm2 0.1117 0.2233 0.0279
Nd1 0.2977 0.5953 0.6461
Nd2 0.9450 0.8901 0.6113
Nd3 0.6347 0.2693 0.7258
Nd4 0.3653 0.7307 0.2742
Nd5 0.0550 0.1099 0.3887
Nd6 0.7023 0.4047 0.3539
Au1 0.4925 0.9851 0.8453
Au2 0.5075 0.0149 0.1547
Au3 0.7473 0.4947 0.0898
Au4 0.2527 0.5053 0.9102

---

Entry 6:
A relaxed Pm4NdAu5 crystal, computed with GGA-PBE.

The space group is No. 123. For the final energy, the calculation gives -4.80 eV per atom.

a = 3.6754 Å, b = 3.6754 Å, c = 18.7137 Å
α = 90.00°, β = 90.00°, γ = 90.00°
Atoms (fractional coordinates):
Pm1 0.0000 0.0000 0.2007
Pm2 0.0000 0.0000 0.4002
Pm3 0.0000 0.0000 0.5998
Pm4 0.0000 0.0000 0.7993
Nd1 0.0000 0.0000 0.0000
Au1 0.5000 0.5000 0.1021
Au2 0.5000 0.5000 0.3004
Au3 0.5000 0.5000 0.5000
Au4 0.5000 0.5000 0.6996
Au5 0.5000 0.5000 0.8979

---

Entry 7:
A relaxed PmNdAu crystal, computed with GGA-PBE.

The value obtained for the energy above the most stable polymorph in this dataset is 0.199 eV per atom. The space group is No. 216.

a = 5.1214 Å, b = 5.1214 Å, c = 5.1214 Å
α = 60.00°, β = 60.00°, γ = 60.00°
Atoms (fractional coordinates):
Nd1 0.0000 0.0000 0.0000
Au1 0.2500 0.2500 0.2500
Pm1 0.5000 0.5000 0.5000

---

Entry 8:
A relaxed Pm3Nd2Au7 crystal, computed with GGA-PBE.

The space group is No. 65. For the final energy, the calculation gives -4.55 eV per atom.

a = 5.4279 Å, b = 5.1848 Å, c = 11.3234 Å
α = 103.23°, β = 90.00°, γ = 90.00°
Atoms (fractional coordinates):
Pm1 0.5000 0.5000 0.0000
Pm2 0.5000 0.6651 0.3303
Pm3 0.5000 0.3349 0.6697
Nd1 0.0000 0.8586 0.7171
Nd2 0.0000 0.1414 0.2829
Au1 0.0000 0.4290 0.8581
Au2 0.0000 0.7203 0.4406
Au3 0.0000 0.0000 0.0000
Au4 0.0000 0.5710 0.1419
Au5 0.5000 0.0851 0.1703
Au6 0.5000 0.9149 0.8297
Au7 0.0000 0.2797 0.5594

---

Entry 9:
A relaxed PmNdAu4 crystal, computed with GGA-PBE.

The space group is No. 65. For the final energy, the calculation gives -4.55 eV per atom.

a = 5.4598 Å, b = 5.4433 Å, c = 5.3733 Å
α = 89.97°, β = 59.47°, γ = 89.99°
Atoms (fractional coordinates):
Pm1 0.0000 0.5000 0.5000
Nd1 0.5000 0.0000 0.5000
Au1 0.3338 0.4999 0.8325
Au2 0.6662 0.5001 0.1675
Au3 0.1652 0.0001 0.1695
Au4 0.8348 0.9999 0.8305

---

Entry 10:
A relaxed PmNd2Au4 crystal, computed with GGA-PBE.

The space group is No. 139. For the final energy, the calculation gives -4.56 eV per atom.

a = 5.3554 Å, b = 5.3554 Å, c = 7.5717 Å
α = 110.71°, β = 110.71°, γ = 90.00°
Atoms (fractional coordinates):
Pm1 0.0000 0.0000 0.0000
Nd1 0.7208 0.7208 0.4417
Nd2 0.2792 0.2792 0.5583
Au1 0.3817 0.8817 0.7634
Au2 0.8817 0.3817 0.7634
Au3 0.6183 0.1183 0.2366
Au4 0.1183 0.6183 0.2366

---

Entry 11:
A relaxed PmNdAu crystal, computed with GGA-PBE.

The value obtained for the energy above the most stable polymorph in this dataset is 0.095 eV per atom. The space group is No. 190.

a = 8.6122 Å, b = 8.6122 Å, c = 7.9649 Å
α = 90.00°, β = 90.00°, γ = 120.00°
Atoms (fractional coordinates):
Pm1 0.0010 0.5970 0.2500
Pm2 0.4030 0.4040 0.2500
Pm3 0.5960 0.9990 0.2500
Pm4 0.4040 0.4030 0.7500
Pm5 0.9990 0.5960 0.7500
Pm6 0.5970 0.0010 0.7500
Nd1 0.0000 0.2662 0.0000
Nd2 0.7338 0.7338 0.0000
Nd3 0.2662 0.0000 0.0000
Nd4 0.0000 0.2662 0.5000
Nd5 0.7338 0.7338 0.5000
Nd6 0.2662 0.0000 0.5000
Au1 0.0000 0.0000 0.2500
Au2 0.0000 0.0000 0.7500
Au3 0.6667 0.3333 0.0019
Au4 0.6667 0.3333 0.4981
Au5 0.3333 0.6667 0.9981
Au6 0.3333 0.6667 0.5019

---

Entry 12:
A relaxed PmNd2Au5 crystal, computed with GGA-PBE.

The space group is No. 139. For the final energy, the calculation gives -4.53 eV per atom.

a = 5.1593 Å, b = 5.1593 Å, c = 8.0631 Å
α = 108.66°, β = 108.66°, γ = 90.00°
Atoms (fractional coordinates):
Pm1 0.0000 0.0000 0.0000
Nd1 0.7274 0.7274 0.4549
Nd2 0.2726 0.2726 0.5451
Au1 0.5000 0.5000 0.0000
Au2 0.8794 0.3794 0.7588
Au3 0.3794 0.8794 0.7588
Au4 0.1206 0.6206 0.2412
Au5 0.6206 0.1206 0.2412

---

no.,theoretical density (g cm⁻³)
1,10.382
2,11.093
3,8.476
4,9.377
5,9.066
6,11.227
7,8.500
8,11.253
9,13.003
10,10.785
11,9.468
12,12.305